DFT (PBE) results for a relaxed structure of NdCoSiN.

```
8
Lattice="-2.483 -2.765 -0.732 1.605 -2.149 2.675 -5.116 3.118 5.573" Properties=species:S:1:pos:R:3 pbc="T T T"
N 0.112 -0.654 2.089
N -5.668 1.315 4.456
Co -2.997 -0.898 3.758
Co -2.558 1.559 2.787
Nd -2.071 -0.877 0.537
Nd -3.485 1.538 6.008
Si -0.998 0.023 3.298
Si -4.558 0.638 3.246
```

Values from the calculation:
* space-group type: No. 129
* density: 6.9 g/cm³
* spin magnetization: 0.00 Bohr magnetons per cell
* formation energy from raw total energies: -101.6 kJ/mol of atoms

***

DFT (PBE) results for a relaxed structure of SrNdCoN2.

```
10
Lattice="5.194 0.000 0.000 0.000 5.488 0.693 0.000 -0.879 6.900" Properties=species:S:1:pos:R:3 pbc="T T T"
Nd 2.596 -0.220 1.725
Nd 2.598 -0.659 5.175
Sr 0.002 2.085 5.522
Sr 5.192 2.524 2.071
Co 0.000 0.000 0.000
Co 0.000 -0.439 3.450
N 1.335 1.198 0.152
N 3.859 3.411 7.442
N 3.859 0.759 3.602
N 1.335 3.850 3.991
```

Values from the calculation:
* space-group type: No. 13
* density: 5.3 g/cm³
* spin magnetization: 4.00 Bohr magnetons per cell
* formation energy from raw total energies: -57.5 kJ/mol of atoms

***

DFT (PBE) results for a relaxed structure of NdTa2CoN4.

```
16
Lattice="3.180 0.000 0.000 -1.590 5.381 0.000 0.000 0.000 10.852" Properties=species:S:1:pos:R:3 pbc="T T T"
Ta 1.590 1.407 0.639
Ta 0.000 3.975 6.066
Ta 0.000 3.975 10.213
Ta 1.590 1.407 4.787
Co 0.000 1.700 2.713
Co 1.590 3.682 8.139
N 0.000 2.900 1.174
N 1.590 0.621 2.713
N 0.000 0.000 0.000
N 1.590 2.481 9.679
N 0.000 4.760 8.139
N 1.590 2.481 6.600
N 0.000 0.000 5.426
N 0.000 2.900 4.253
Nd 1.590 4.213 2.713
Nd 0.000 1.168 8.139
```

Values from the calculation:
* space-group type: No. 63
* density: 11.1 g/cm³
* spin magnetization: 0.00 Bohr magnetons per cell
* formation energy from raw total energies: -95.2 kJ/mol of atoms